Record 1
This record from Alexandria via LeMat-Bulk describes a geometry-optimized Y2PSe structure. The functional is PBEsol.

It has space group R3m (No. 160, hexagonal axes), with a = 3.9115 Å, b = 3.9115 Å, c = 20.7023 Å, α = 90.00°, β = 90.00° and γ = 120.00°. The inequivalent atoms are Y at (0.0000, 0.0000, 0.0000), Y at (0.0000, 0.0000, 0.1839), P at (0.0000, 0.0000, 0.5904) and Se at (0.0000, 0.0000, 0.7596).

The calculation puts the calculated total energy at -7.608 eV/atom. Its uncorrected formation energy is -1787 meV per atom. For the theoretical density, the calculation gives 5.23 g/cm³. Its density of states at the Fermi level is 0.475 states/eV/atom. The value obtained for the excess energy over the best structure of this formula in the dataset is 0.0707 eV/atom. As for the size of the total moment: 0.000 μB/f.u.

***

Record 2
This record from Alexandria via LeMat-Bulk describes a geometry-optimized KZn2FeIr structure. The functional is PBEsol.

It has space group P4/mmm (No. 123), with a = 4.6504 Å, b = 4.6504 Å, c = 4.1440 Å, α = 90.00°, β = 90.00° and γ = 90.00°. The inequivalent atoms are K at (0.0000, 0.0000, 0.0000), Zn at (0.0000, 0.5000, 0.0000), Fe at (0.0000, 0.0000, 0.5000) and Ir at (0.5000, 0.5000, 0.5000).

For the formation energy, the calculation gives 11.682 eV/f.u. The calculation puts the calculated total energy at -2.280 eV/atom. For the theoretical density, the calculation gives 7.74 g/cm³. Its density of states at the Fermi level is 1.020 states/eV/atom. As for the size of the total moment: 2.189 μB/f.u.

***

Record 3
This record from Alexandria via LeMat-Bulk describes a geometry-optimized SrZnIr3 structure. The functional is PBEsol.

It has space group Pm-3m (No. 221), with a = 4.8317 Å, b = 4.8317 Å, c = 4.8317 Å, α = 90.00°, β = 90.00° and γ = 90.00°. The inequivalent atoms are Sr at (0.0000, 0.0000, 0.0000), Zn at (0.5000, 0.5000, 0.5000) and Ir at (0.0000, 0.0000, 0.5000).

For the formation energy, the calculation gives 14.391 eV/f.u. The calculation puts the calculated total energy at -3.700 eV/atom. For the theoretical density, the calculation gives 10.74 g/cm³. Its density of states at the Fermi level is 1.503 states/eV/atom. As for the size of the total moment: 0.519 μB/f.u.

***

Record 4
This record from Alexandria via LeMat-Bulk describes a geometry-optimized YMoOs2 structure. The functional is PBEsol.

It has space group Pmmm (No. 47), with a = 3.1229 Å, b = 4.4915 Å, c = 4.6608 Å, α = 90.00°, β = 90.00° and γ = 90.00°. The inequivalent atoms are Y at (0.0000, 0.0000, 0.0000), Mo at (0.5000, 0.0000, 0.5000), Os at (0.0000, 0.5000, 0.5000) and Os at (0.5000, 0.5000, 0.0000).

For the formation energy, the calculation gives 1.708 eV/f.u. The calculation puts the calculated total energy at -10.328 eV/atom. For the theoretical density, the calculation gives 14.36 g/cm³. Its density of states at the Fermi level is 1.026 states/eV/atom. The value obtained for the excess energy over the best structure of this formula in the dataset is 0.3530 eV/atom. As for the size of the total moment: 0.000 μB/f.u.

***

Record 5
This record from Alexandria via LeMat-Bulk describes a geometry-optimized AlZnW4 structure. The functional is PBEsol.

It has space group F-43m (No. 216), with a = 7.3958 Å, b = 7.3958 Å, c = 7.3958 Å, α = 90.00°, β = 90.00° and γ = 90.00°. The inequivalent atoms are Al at (0.0000, 0.0000, 0.0000), Zn at (0.2500, 0.2500, 0.2500) and W at (0.1246, 0.1246, 0.6246).

For the formation energy, the calculation gives 3.927 eV/f.u. The calculation puts the calculated total energy at -9.496 eV/atom. For the theoretical density, the calculation gives 13.59 g/cm³. Its density of states at the Fermi level is 0.800 states/eV/atom. As for the size of the total moment: 0.001 μB/f.u.

***

Record 6
This record from Alexandria via LeMat-Bulk describes a geometry-optimized TaAl2Sb structure. The functional is PBEsol.

It has space group Cmm2 (No. 35), with a = 3.8283 Å, b = 4.6034 Å, c = 8.5976 Å, α = 90.00°, β = 90.00° and γ = 90.00°. The inequivalent atoms are Ta at (0.0000, 0.0000, 0.0000), Al at (0.0000, 0.0000, 0.4466), Al at (0.0000, 0.5000, 0.2239) and Sb at (0.0000, 0.5000, 0.7465).

The calculation puts the calculated total energy at -6.224 eV/atom. Its uncorrected formation energy is 99 meV per atom. For the theoretical density, the calculation gives 7.82 g/cm³. Its density of states at the Fermi level is 0.392 states/eV/atom. As for the size of the total moment: 0.000 μB/f.u.

***

Record 7
This record from Alexandria via LeMat-Bulk describes a geometry-optimized BaSi2Ni structure. The functional is PBEsol.

It has space group F-43m (No. 216), with a = 6.7398 Å, b = 6.7398 Å, c = 6.7398 Å, α = 90.00°, β = 90.00° and γ = 90.00°. The inequivalent atoms are Ba at (0.0000, 0.0000, 0.0000), Si at (0.0000, 0.0000, 0.5000), Si at (0.2500, 0.2500, 0.7500) and Ni at (0.2500, 0.2500, 0.2500).

The calculation puts the calculated total energy at -4.561 eV/atom. Its uncorrected formation energy is 389 meV per atom. For the theoretical density, the calculation gives 5.47 g/cm³. Its density of states at the Fermi level is 0.505 states/eV/atom. As for the size of the total moment: 0.000 μB/f.u.

***

Record 8
This record from Alexandria via LeMat-Bulk describes a geometry-optimized Fe5Si structure. The functional is PBEsol.

It has space group Cmmm (No. 65), with a = 2.7813 Å, b = 11.7839 Å, c = 3.8798 Å, α = 90.00°, β = 90.00° and γ = 90.00°. The inequivalent atoms are Fe at (0.0000, 0.0000, 0.0000), Fe at (0.0000, 0.1666, 0.5000), Fe at (0.0000, 0.3343, 0.0000) and Si at (0.0000, 0.5000, 0.5000).

The calculation puts the calculated total energy at -8.626 eV/atom. Its uncorrected formation energy is -199 meV per atom. For the theoretical density, the calculation gives 8.03 g/cm³. Its density of states at the Fermi level is 0.917 states/eV/atom. The value obtained for the excess energy over the best structure of this formula in the dataset is 0.0000 eV/atom. As for the size of the total moment: 8.797 μB/f.u.

***

Record 9
This record from Alexandria via LeMat-Bulk describes a geometry-optimized KFeTcCl2 structure. The functional is PBEsol.

It has space group P4/mmm (No. 123), with a = 5.3048 Å, b = 5.3048 Å, c = 5.5228 Å, α = 90.00°, β = 90.00° and γ = 90.00°. The inequivalent atoms are K at (0.0000, 0.0000, 0.0000), Fe at (0.0000, 0.0000, 0.5000), Tc at (0.5000, 0.5000, 0.5000) and Cl at (0.0000, 0.5000, 0.0000).

The calculation puts the calculated total energy at -3.570 eV/atom. Its uncorrected formation energy is 1506 meV per atom. For the theoretical density, the calculation gives 2.82 g/cm³. Its density of states at the Fermi level is 0.712 states/eV/atom. As for the size of the total moment: 8.409 μB/f.u.

***

Record 10
This record from Alexandria via LeMat-Bulk describes a geometry-optimized Hg3MoC structure. The functional is PBEsol.

It has space group Pm-3m (No. 221), with a = 5.3665 Å, b = 5.3665 Å, c = 5.3665 Å, α = 90.00°, β = 90.00° and γ = 90.00°. The inequivalent atoms are Hg at (0.0000, 0.0000, 0.5000), Mo at (0.0000, 0.0000, 0.0000) and C at (0.5000, 0.5000, 0.5000).

For the formation energy, the calculation gives 11.890 eV/f.u. The calculation puts the calculated total energy at -2.245 eV/atom. For the theoretical density, the calculation gives 7.63 g/cm³. Its density of states at the Fermi level is 2.214 states/eV/atom. As for the size of the total moment: 5.296 μB/f.u.

***

Record 11
This record from Alexandria via LeMat-Bulk describes a geometry-optimized MgH12Br2O6 structure. The functional is PBEsol.

It has space group C2/m (No. 12), with a = 9.9906 Å, b = 7.0729 Å, c = 6.2672 Å, α = 90.00°, β = 93.73° and γ = 90.00°. The inequivalent atoms are Mg at (0.0000, 0.0000, 0.0000), H at (0.0237, 0.2986, 0.2812), H at (0.1171, 0.1952, 0.6885), H at (0.2284, 0.5000, 0.9941), H at (0.2402, 0.0000, 0.2530), Br at (0.1881, 0.5000, 0.3948), O at (0.0438, 0.2097, 0.7849) and O at (0.1994, 0.0000, 0.1047).

The calculation puts the calculated total energy at -4.792 eV/atom. For the theoretical density, the calculation gives 2.20 g/cm³. Its density of states at the Fermi level is 0.000 states/eV/atom. As for the size of the total moment: 0.000 μB/f.u.

***

Record 12
This record from Alexandria via LeMat-Bulk describes a geometry-optimized Ni3Ir structure. The functional is PBEsol.

It has space group Imm2 (No. 44), with a = 2.5779 Å, b = 8.1886 Å, c = 4.3528 Å, α = 90.00°, β = 90.00° and γ = 90.00°. The inequivalent atoms are Ni at (0.0000, 0.0000, 0.0000), Ni at (0.0000, 0.2511, 0.3401) and Ir at (0.0000, 0.5000, 0.9975).

For the formation energy, the calculation gives 0.145 eV/f.u. The calculation puts the calculated total energy at -7.038 eV/atom. For the theoretical density, the calculation gives 13.31 g/cm³. Its density of states at the Fermi level is 1.797 states/eV/atom. As for the size of the total moment: 2.188 μB/f.u.